{
  "formula": "PuThSn",
  "functional": "PBE",
  "state": "optimized geometry",
  "e_tot_ev_per_atom": -8.885,
  "magmom_total_mub_per_cell": 13.86,
  "relative_energy_kj_per_mol_atoms": 4.4,
  "cell": [[5.3700, -0.5065, 0.0000], [-2.2444, 4.9047, 0.0000], [0.0000, 0.0000, 6.7575]],
  "species": ["Pu", "Pu", "Sn", "Sn", "Th", "Th"],
  "frac_coords": [[0.6668, 0.8332, 0.2500], [0.3332, 0.1668, 0.7500], [0.3334, 0.1666, 0.2500], [0.6666, 0.8334, 0.7500], [0.0000, 0.5000, 0.5000], [0.0000, 0.5000, 0.0000]]
}

{
  "formula": "PuTh2Sn",
  "functional": "PBE",
  "state": "optimized geometry",
  "e_tot_ev_per_atom": -8.296,
  "magmom_total_mub_per_cell": 5.98,
  "relative_energy_kj_per_mol_atoms": 28.0,
  "cell": [[3.5276, 0.0000, 0.0000], [1.7638, 3.0550, 0.0000], [1.7638, 1.0183, 11.1577]],
  "species": ["Th", "Th", "Pu", "Sn"],
  "frac_coords": [[0.7484, 0.7484, 0.7547], [0.2516, 0.2516, 0.2453], [0.5000, 0.5000, 0.5000], [0.0000, 0.0000, 0.0000]]
}

{
  "formula": "PuTh5Sn5",
  "functional": "PBE",
  "state": "optimized geometry",
  "e_tot_ev_per_atom": -6.697,
  "magmom_total_mub_per_cell": 5.22,
  "cell": [[6.3258, 0.0000, 0.0000], [-3.1629, 7.0292, -0.0929], [0.0000, -2.7344, 8.4675]],
  "species": ["Sn", "Sn", "Sn", "Sn", "Sn", "Th", "Th", "Th", "Th", "Th", "Pu"],
  "frac_coords": [[0.8356, 0.6713, 0.6701], [0.1644, 0.3287, 0.3299], [0.1691, 0.3383, 0.8371], [0.8309, 0.6617, 0.1629], [0.5000, 0.0000, 0.0000], [0.3388, 0.6777, 0.1772], [0.3353, 0.6705, 0.6622], [0.6612, 0.3223, 0.8228], [0.6647, 0.3295, 0.3378], [0.0000, 0.0000, 0.5000], [0.0000, 0.0000, 0.0000]]
}

{
  "formula": "PuThSn",
  "functional": "PBE",
  "state": "optimized geometry",
  "e_tot_ev_per_atom": -8.679,
  "magmom_total_mub_per_cell": 6.37,
  "relative_energy_kj_per_mol_atoms": 24.2,
  "cell": [[-1.4466, 2.9026, 0.6421], [-2.6123, -0.2833, -4.6050], [-2.1475, -2.0427, 4.3961]],
  "species": ["Th", "Sn", "Pu"],
  "frac_coords": [[0.1661, 0.3333, 0.6667], [0.6668, 0.6667, 0.3333], [0.1671, 0.0000, 0.0000]]
}

{
  "formula": "PuThSn",
  "functional": "PBE",
  "state": "optimized geometry",
  "e_tot_ev_per_atom": -8.890,
  "magmom_total_mub_per_cell": 6.34,
  "relative_energy_kj_per_mol_atoms": 3.9,
  "cell": [[-2.7222, 3.0684, -0.3906], [-2.9800, -2.7411, -0.7646], [1.8667, -0.4279, 5.3615]],
  "species": ["Pu", "Sn", "Th"],
  "frac_coords": [[0.6570, 0.6570, 0.3141], [0.0015, 0.0015, 0.0029], [0.3415, 0.3415, 0.6830]]
}

{
  "formula": "PuTh2Sn",
  "functional": "PBE",
  "state": "optimized geometry",
  "e_tot_ev_per_atom": -8.470,
  "magmom_total_mub_per_cell": 6.44,
  "relative_energy_kj_per_mol_atoms": 11.2,
  "cell": [[4.0650, 0.0000, 0.0000], [0.0000, 4.0650, 0.0000], [0.0000, 0.0000, 7.0140]],
  "species": ["Th", "Th", "Sn", "Pu"],
  "frac_coords": [[0.0000, 0.0000, 0.2415], [0.0000, 0.0000, 0.7585], [0.5000, 0.5000, 0.0000], [0.5000, 0.5000, 0.5000]]
}